[1]
Sm3Zn4In2: optimized geometry, PBE.

V = 415.8 Å³/cell

Unit cell a=10.889 b=4.676 c=8.915 alpha=90.00 beta=113.66 gamma=90.00
Space group C2/m (No. 12)
Asymmetric unit:
Sm: 0.000 0.000 0.000 x2
Sm: 0.164 0.500 0.674 x4
Zn: 0.071 0.000 0.414 x4
Zn: 0.215 0.500 0.039 x4
In: 0.116 0.500 0.281 x4

***

[2]
SmZnIn2: optimized geometry, PBE.

V = 298.2 Å³/cell

Unit cell a=4.5715 b=4.5715 c=16.4736 alpha=90.00 beta=90.00 gamma=120.00
Space group R-3m (No. 166, hexagonal axes)
Asymmetric unit:
Sm: 0.0000 0.0000 0.0000 x3
Zn: 0.0000 0.0000 0.5000 x3
In: 0.0000 0.0000 0.2237 x6

***

[3]
Sm4ZnIn3: optimized geometry, PBE.

Energy above the lowest structure with this stoichiometry = 0.0648 eV per atom
V = 225.0 Å³/cell

Unit cell a=3.858 b=4.787 c=12.185 alpha=90.00 beta=90.00 gamma=90.00
Space group Pmm2 (No. 25)
Asymmetric unit:
Sm: 0.000 0.000 0.000 x1
Sm: 0.000 0.500 0.298 x1
Sm: 0.500 0.000 0.483 x1
Sm: 0.500 0.500 0.805 x1
Zn: 0.500 0.000 0.222 x1
In: 0.000 0.000 0.724 x1
In: 0.000 0.500 0.570 x1
In: 0.500 0.500 0.077 x1

***

[4]
SmZnIn: optimized geometry, PBE.

V = 143.8 Å³/cell

Unit cell a=4.7143 b=4.7143 c=7.4715 alpha=90.00 beta=90.00 gamma=120.00
Space group P6_3/mmc (No. 194)
Asymmetric unit:
Sm: 0.0000 0.0000 0.0000 x2
Zn: 0.3333 0.6667 0.2500 x2
In: 0.3333 0.6667 0.7500 x2

***

[5]
Sm2Zn6In: optimized geometry, PBE.

V = 177.5 Å³/cell

Unit cell a=5.8911 b=5.8911 c=5.9044 alpha=90.00 beta=90.00 gamma=120.00
Space group P-3m1 (No. 164)
Asymmetric unit:
Sm: 0.3333 0.6667 0.1541 x2
Zn: 0.1829 0.3658 0.6515 x6
In: 0.0000 0.0000 0.0000 x1

***

[6]
Sm4ZnIn3: optimized geometry, PBE.

Energy above the lowest structure with this stoichiometry = 0.0000 eV per atom
V = 217.0 Å³/cell

Unit cell a=3.690 b=3.690 c=15.935 alpha=90.00 beta=90.00 gamma=90.00
Space group P4/mmm (No. 123)
Asymmetric unit:
Sm: 0.000 0.000 0.110 x2
Sm: 0.000 0.000 0.370 x2
Zn: 0.500 0.500 0.000 x1
In: 0.500 0.500 0.239 x2
In: 0.500 0.500 0.500 x1

***

Number 1: M_tot 0.002 μB/cell, E_tot -56.98 eV for the cell shown. Number 2: M_tot 0.000 μB/cell, E_tot -37.60 eV for the cell shown. Number 3: M_tot 0.155 μB/cell, E_tot -31.48 eV for the cell shown. Number 4: M_tot 0.000 μB/cell, E_tot -20.16 eV for the cell shown. Number 5: M_tot 0.000 μB/cell, E_tot -22.58 eV for the cell shown. Number 6: M_tot 0.000 μB/cell, E_tot -32.00 eV for the cell shown.